No. 1
The following is a PBE-GGA calculation of a relaxed structure of CdAg2GeSe4, from the Alexandria database.

```
data_CdAg2GeSe4
_cell_length_a 5.9681
_cell_length_b 5.9681
_cell_length_c 7.4391
_cell_angle_alpha 113.65
_cell_angle_beta 113.65
_cell_angle_gamma 90.00
_symmetry_space_group_name_H-M 'P 1'
_symmetry_Int_Tables_number 1
loop_
_symmetry_equiv_pos_as_xyz
'x,y,z'
loop_
_atom_site_label
_atom_site_type_symbol
_atom_site_fract_x
_atom_site_fract_y
_atom_site_fract_z
Se1 Se 0.6093 0.6093 0.7608
Se2 Se 0.8485 0.3908 0.2393
Se3 Se 0.3908 0.8485 0.2393
Se4 Se 0.1515 0.1515 0.7608
Ag1 Ag 0.2500 0.7500 0.5001
Ag2 Ag 0.7500 0.2500 0.5001
Ge1 Ge 0.5000 0.5000 0.0000
Cd1 Cd 0.0001 0.0001 0.0002
```

Properties
The calculation puts the total magnetic moment at 0.00 μB per formula unit. The value obtained for the electronic total energy is -3.451 eV/atom. Its space-group type is I-42m (121). The calculation puts the formation energy from raw total energies at -29.34 kJ/mol of atoms. The density of states at the Fermi level is 1.64 states/eV/f.u.

***

No. 2
The following is a PBE-GGA calculation of a relaxed structure of CdAg2SnGe, from the Alexandria database.

```
data_CdAg2SnGe
_cell_length_a 5.1968
_cell_length_b 5.4306
_cell_length_c 5.1968
_cell_angle_alpha 90.00
_cell_angle_beta 90.00
_cell_angle_gamma 90.00
_symmetry_space_group_name_H-M 'P 1'
_symmetry_Int_Tables_number 1
loop_
_symmetry_equiv_pos_as_xyz
'x,y,z'
loop_
_atom_site_label
_atom_site_type_symbol
_atom_site_fract_x
_atom_site_fract_y
_atom_site_fract_z
Sn1 Sn 0.0000 0.0000 0.0000
Cd1 Cd 0.0000 0.5000 0.0000
Ge1 Ge 0.5000 0.5000 0.5000
Ag1 Ag 0.5000 0.0000 0.0000
Ag2 Ag 0.0000 0.0000 0.5000
```

Properties
The calculation puts the total magnetic moment at 0.00 μB per formula unit. The value obtained for the electronic total energy is -2.333 eV/atom. Its space-group type is P4/mmm (123). The calculation puts the energy of formation from the pure elements at 0.71 eV per atom. The density of states at the Fermi level is 3.82 states/eV/f.u.

***

No. 3
The following is a PBE-GGA calculation of a relaxed structure of SrCdAgGe, from the Alexandria database.

```
data_SrCdAgGe
_cell_length_a 5.1263
_cell_length_b 5.1263
_cell_length_c 5.1263
_cell_angle_alpha 60.00
_cell_angle_beta 60.00
_cell_angle_gamma 60.00
_symmetry_space_group_name_H-M 'P 1'
_symmetry_Int_Tables_number 1
loop_
_symmetry_equiv_pos_as_xyz
'x,y,z'
loop_
_atom_site_label
_atom_site_type_symbol
_atom_site_fract_x
_atom_site_fract_y
_atom_site_fract_z
Ag1 Ag 0.7500 0.7500 0.7500
Ge1 Ge 0.2500 0.2500 0.2500
Cd1 Cd 0.5000 0.5000 0.5000
Sr1 Sr 0.0000 0.0000 0.0000
```

Properties
The calculation puts the total magnetic moment at 0.00 μB per formula unit. The value obtained for the electronic total energy is -2.707 eV/atom. Its space-group type is F-43m (216). The calculation puts the energy of formation from the pure elements at -0.19 eV per atom. The density of states at the Fermi level is 1.79 states/eV/f.u.

***

No. 4
The following is a PBE-GGA calculation of a relaxed structure of Sr2Cd3AgGe4, from the Alexandria database.

```
data_Sr2Cd3AgGe4
_cell_length_a 4.5414
_cell_length_b 4.5414
_cell_length_c 11.7046
_cell_angle_alpha 90.00
_cell_angle_beta 90.00
_cell_angle_gamma 90.00
_symmetry_space_group_name_H-M 'P 1'
_symmetry_Int_Tables_number 1
loop_
_symmetry_equiv_pos_as_xyz
'x,y,z'
loop_
_atom_site_label
_atom_site_type_symbol
_atom_site_fract_x
_atom_site_fract_y
_atom_site_fract_z
Ge1 Ge 0.0000 0.0000 0.0000
Ge2 Ge 0.5000 0.0000 0.6341
Ge3 Ge 0.5000 0.5000 0.0000
Ge4 Ge 0.0000 0.5000 0.3659
Sr1 Sr 0.5000 0.0000 0.2606
Sr2 Sr 0.0000 0.5000 0.7394
Cd1 Cd 0.0000 0.0000 0.5000
Cd2 Cd 0.5000 0.0000 0.8603
Cd3 Cd 0.0000 0.5000 0.1397
Ag1 Ag 0.5000 0.5000 0.5000
```

Properties
The calculation puts the total magnetic moment at 0.00 μB per formula unit. The value obtained for the electronic total energy is -3.017 eV/atom. Its space-group type is P-4m2 (115). The calculation puts the energy of formation from the pure elements at -0.27 eV per atom. The density of states at the Fermi level is 3.83 states/eV/f.u.

***

No. 5
The following is a PBE-GGA calculation of a relaxed structure of Sr2Cd4AgGe3, from the Alexandria database.

```
data_Sr2Cd4AgGe3
_cell_length_a 4.5360
_cell_length_b 4.5360
_cell_length_c 11.9539
_cell_angle_alpha 90.00
_cell_angle_beta 90.00
_cell_angle_gamma 90.00
_symmetry_space_group_name_H-M 'P 1'
_symmetry_Int_Tables_number 1
loop_
_symmetry_equiv_pos_as_xyz
'x,y,z'
loop_
_atom_site_label
_atom_site_type_symbol
_atom_site_fract_x
_atom_site_fract_y
_atom_site_fract_z
Cd1 Cd 0.0000 0.5000 0.3638
Cd2 Cd 0.5000 0.0000 0.6362
Cd3 Cd 0.0000 0.0000 0.0000
Cd4 Cd 0.5000 0.5000 0.0000
Ge1 Ge 0.0000 0.0000 0.5000
Ge2 Ge 0.0000 0.5000 0.1406
Ge3 Ge 0.5000 0.0000 0.8594
Sr1 Sr 0.0000 0.5000 0.7531
Sr2 Sr 0.5000 0.0000 0.2469
Ag1 Ag 0.5000 0.5000 0.5000
```

Properties
The calculation puts the total magnetic moment at 0.00 μB per formula unit. The value obtained for the electronic total energy is -2.651 eV/atom. Its space-group type is P-4m2 (115). The calculation puts the energy of formation from the pure elements at -0.28 eV per atom. The density of states at the Fermi level is 2.52 states/eV/f.u.

***

No. 6
The following is a PBE-GGA calculation of a relaxed structure of SrCdAg2Ge, from the Alexandria database.

```
data_SrCdAg2Ge
_cell_length_a 4.5313
_cell_length_b 4.6096
_cell_length_c 6.5744
_cell_angle_alpha 110.52
_cell_angle_beta 110.16
_cell_angle_gamma 90.00
_symmetry_space_group_name_H-M 'P 1'
_symmetry_Int_Tables_number 1
loop_
_symmetry_equiv_pos_as_xyz
'x,y,z'
loop_
_atom_site_label
_atom_site_type_symbol
_atom_site_fract_x
_atom_site_fract_y
_atom_site_fract_z
Ge1 Ge 0.8258 0.8258 0.6517
Sr1 Sr 0.4374 0.4374 0.8749
Ag1 Ag 0.7075 0.2075 0.4149
Ag2 Ag 0.0500 0.0500 0.1000
Cd1 Cd 0.1914 0.6914 0.3828
```

Properties
The calculation puts the total magnetic moment at 0.00 μB per formula unit. The value obtained for the electronic total energy is -2.846 eV/atom. Its space-group type is Imm2 (44). The calculation puts the energy of formation from the pure elements at -0.26 eV per atom. The density of states at the Fermi level is 2.41 states/eV/f.u.

***

No. 7
The following is a PBE-GGA calculation of a relaxed structure of CdAgGe2Te, from the Alexandria database.

```
data_CdAgGe2Te
_cell_length_a 5.1249
_cell_length_b 5.7436
_cell_length_c 5.1249
_cell_angle_alpha 90.00
_cell_angle_beta 90.00
_cell_angle_gamma 90.00
_symmetry_space_group_name_H-M 'P 1'
_symmetry_Int_Tables_number 1
loop_
_symmetry_equiv_pos_as_xyz
'x,y,z'
loop_
_atom_site_label
_atom_site_type_symbol
_atom_site_fract_x
_atom_site_fract_y
_atom_site_fract_z
Cd1 Cd 0.0000 0.0000 0.0000
Ge1 Ge 0.0000 0.0000 0.5000
Ge2 Ge 0.5000 0.0000 0.0000
Te1 Te 0.0000 0.5000 0.0000
Ag1 Ag 0.5000 0.5000 0.5000
```

Properties
The calculation puts the total magnetic moment at 0.00 μB per formula unit. The value obtained for the electronic total energy is -2.412 eV/atom. Its space-group type is P4/mmm (123). The calculation puts the formation energy from raw total energies at 78.80 kJ/mol of atoms. The density of states at the Fermi level is 3.26 states/eV/f.u.

***

No. 8
The following is a PBE-GGA calculation of a relaxed structure of TiCdAg2Ge, from the Alexandria database.

```
data_TiCdAg2Ge
_cell_length_a 4.8320
_cell_length_b 4.8732
_cell_length_c 4.8320
_cell_angle_alpha 90.00
_cell_angle_beta 90.00
_cell_angle_gamma 90.00
_symmetry_space_group_name_H-M 'P 1'
_symmetry_Int_Tables_number 1
loop_
_symmetry_equiv_pos_as_xyz
'x,y,z'
loop_
_atom_site_label
_atom_site_type_symbol
_atom_site_fract_x
_atom_site_fract_y
_atom_site_fract_z
Ti1 Ti 0.0000 0.5000 0.0000
Ag1 Ag 0.5000 0.0000 0.0000
Ag2 Ag 0.0000 0.0000 0.5000
Cd1 Cd 0.5000 0.5000 0.5000
Ge1 Ge 0.0000 0.0000 0.0000
```

Properties
The calculation puts the total magnetic moment at 0.00 μB per formula unit. The value obtained for the electronic total energy is -3.426 eV/atom. Its space-group type is P4/mmm (123). The calculation puts the energy of formation from the pure elements at 0.40 eV per atom. The density of states at the Fermi level is 4.77 states/eV/f.u.

***

No. 9
The following is a PBE-GGA calculation of a relaxed structure of TmCdAgGe, from the Alexandria database.

```
data_TmCdAgGe
_cell_length_a 4.9094
_cell_length_b 4.9094
_cell_length_c 4.9094
_cell_angle_alpha 60.00
_cell_angle_beta 60.00
_cell_angle_gamma 60.00
_symmetry_space_group_name_H-M 'P 1'
_symmetry_Int_Tables_number 1
loop_
_symmetry_equiv_pos_as_xyz
'x,y,z'
loop_
_atom_site_label
_atom_site_type_symbol
_atom_site_fract_x
_atom_site_fract_y
_atom_site_fract_z
Cd1 Cd 0.2500 0.2500 0.2500
Ge1 Ge 0.5000 0.5000 0.5000
Ag1 Ag 0.0000 0.0000 0.0000
Tm1 Tm 0.7500 0.7500 0.7500
```

Properties
The calculation puts the total magnetic moment at 0.00 μB per formula unit. The value obtained for the electronic total energy is -3.497 eV/atom. Its space-group type is F-43m (216). The calculation puts the energy of formation from the pure elements at -0.28 eV per atom. The density of states at the Fermi level is 0.98 states/eV/f.u.

***

No. 10
The following is a PBE-GGA calculation of a relaxed structure of YCdAgGe, from the Alexandria database.

```
data_YCdAgGe
_cell_length_a 4.9509
_cell_length_b 4.9509
_cell_length_c 4.9509
_cell_angle_alpha 60.00
_cell_angle_beta 60.00
_cell_angle_gamma 60.00
_symmetry_space_group_name_H-M 'P 1'
_symmetry_Int_Tables_number 1
loop_
_symmetry_equiv_pos_as_xyz
'x,y,z'
loop_
_atom_site_label
_atom_site_type_symbol
_atom_site_fract_x
_atom_site_fract_y
_atom_site_fract_z
Ag1 Ag 0.0000 0.0000 0.0000
Y1 Y 0.2500 0.2500 0.2500
Cd1 Cd 0.7500 0.7500 0.7500
Ge1 Ge 0.5000 0.5000 0.5000
```

Properties
The calculation puts the total magnetic moment at 0.00 μB per formula unit. The value obtained for the electronic total energy is -4.016 eV/atom. Its space-group type is F-43m (216). The calculation puts the energy of formation from the pure elements at -0.30 eV per atom. The density of states at the Fermi level is 1.61 states/eV/f.u.

***

No. 11
The following is a PBE-GGA calculation of a relaxed structure of Cd2AgH2, from the Alexandria database.

```
data_Cd2AgH2
_cell_length_a 3.2205
_cell_length_b 3.2205
_cell_length_c 7.1832
_cell_angle_alpha 77.05
_cell_angle_beta 77.05
_cell_angle_gamma 90.00
_symmetry_space_group_name_H-M 'P 1'
_symmetry_Int_Tables_number 1
loop_
_symmetry_equiv_pos_as_xyz
'x,y,z'
loop_
_atom_site_label
_atom_site_type_symbol
_atom_site_fract_x
_atom_site_fract_y
_atom_site_fract_z
Cd1 Cd 0.6443 0.6443 0.7114
Cd2 Cd 0.3557 0.3557 0.2886
H1 H 0.2500 0.7500 0.5000
H2 H 0.7500 0.2500 0.5000
Ag1 Ag 0.0000 0.0000 0.0000
```

Properties
The calculation puts the total magnetic moment at 0.00 μB per formula unit. The value obtained for the electronic total energy is -1.970 eV/atom. Its space-group type is I4/mmm (139). The density of states at the Fermi level is 1.13 states/eV/f.u.

***

No. 12
The following is a PBE-GGA calculation of a relaxed structure of Cd3AgH, from the Alexandria database.

```
data_Cd3AgH
_cell_length_a 4.4614
_cell_length_b 4.4614
_cell_length_c 4.4614
_cell_angle_alpha 90.00
_cell_angle_beta 90.00
_cell_angle_gamma 90.00
_symmetry_space_group_name_H-M 'P 1'
_symmetry_Int_Tables_number 1
loop_
_symmetry_equiv_pos_as_xyz
'x,y,z'
loop_
_atom_site_label
_atom_site_type_symbol
_atom_site_fract_x
_atom_site_fract_y
_atom_site_fract_z
H1 H 0.0000 0.0000 0.0000
Cd1 Cd 0.0000 0.0000 0.5000
Cd2 Cd 0.0000 0.5000 0.0000
Cd3 Cd 0.5000 0.0000 0.0000
Ag1 Ag 0.5000 0.5000 0.5000
```

Properties
The calculation puts the total magnetic moment at 0.00 μB per formula unit. The value obtained for the electronic total energy is -1.529 eV/atom. Its space-group type is Pm-3m (221). The density of states at the Fermi level is 1.55 states/eV/f.u.